Mg2RhPb: optimized geometry, PBE.

It has space group I-42d (No. 122), with a = 4.199 Å, b = 4.199 Å, c = 19.446 Å, α = 90.00°, β = 90.00° and γ = 90.00°. The inequivalent atoms are Mg at (0.225, 0.250, 0.125), Rh at (0.000, 0.000, 0.000) and Pb at (0.000, 0.000, 0.500).

As for the total energy: -3.4585 eV per atom. The formation energy is 0.104 eV/atom. Its magnetization is 0.00 μB per formula unit. The calculated volume comes out at 342.8 Å³ per cell.

MgRhPb2: optimized geometry, PBE.

It has space group P2/m (No. 10), with a = 3.456 Å, b = 3.440 Å, c = 7.662 Å, α = 90.00°, β = 90.66° and γ = 90.00°. The inequivalent atoms are Mg at (0.000, 0.000, 0.000), Rh at (0.000, 0.000, 0.500) and Pb at (0.497, 0.500, 0.286).

As for the total energy: -4.1189 eV per atom. The formation energy is -0.028 eV/atom. Its magnetization is 0.00 μB per formula unit. The calculated volume comes out at 91.1 Å³ per cell.

MgRhPb2: optimized geometry, PBE.

It has space group C2/m (No. 12), with a = 9.790 Å, b = 3.532 Å, c = 5.526 Å, α = 90.00°, β = 108.83° and γ = 90.00°. The inequivalent atoms are Mg at (0.000, 0.000, 0.000), Rh at (0.000, 0.500, 0.500) and Pb at (0.230, 0.000, 0.730).

As for the total energy: -4.0703 eV per atom. The formation energy is 0.020 eV/atom. Its magnetization is 0.00 μB per formula unit. The calculated volume comes out at 180.9 Å³ per cell.

MgRhPb: optimized geometry, PBE.

It has space group Pnma (No. 62), with a = 9.032 Å, b = 4.493 Å, c = 6.386 Å, α = 90.00°, β = 90.00° and γ = 90.00°. The inequivalent atoms are Mg at (0.142, 0.250, 0.240), Rh at (0.113, 0.750, 0.998) and Pb at (0.128, 0.250, 0.732).

As for the total energy: -4.4744 eV per atom. The formation energy is -0.256 eV/atom. Its magnetization is 0.00 μB per formula unit. The calculated volume comes out at 259.1 Å³ per cell.

Mg2RhPb2: optimized geometry, PBE.

It has space group I4/mmm (No. 139), with a = 3.765 Å, b = 3.765 Å, c = 16.925 Å, α = 90.00°, β = 90.00° and γ = 90.00°. The inequivalent atoms are Mg at (0.000, 0.500, 0.250), Rh at (0.000, 0.000, 0.000) and Pb at (0.000, 0.000, 0.409).

As for the total energy: -3.2722 eV per atom. The formation energy is 0.319 eV/atom. Its magnetization is 0.00 μB per formula unit. The calculated volume comes out at 240.0 Å³ per cell.

MgRhPb2: optimized geometry, PBE.

It has space group P2/m (No. 10), with a = 4.887 Å, b = 3.406 Å, c = 5.712 Å, α = 90.00°, β = 110.35° and γ = 90.00°. The inequivalent atoms are Mg at (0.000, 0.000, 0.000), Rh at (0.000, 0.500, 0.500), Pb at (0.500, 0.000, 0.500) and Pb at (0.500, 0.500, 0.000).

As for the total energy: -3.9841 eV per atom. The formation energy is 0.107 eV/atom. Its magnetization is 0.00 μB per formula unit. The calculated volume comes out at 89.1 Å³ per cell.

Mg2RhPb: optimized geometry, PBE.

It has space group R3m (No. 160, hexagonal axes), with a = 4.5621 Å, b = 4.5621 Å, c = 13.7554 Å, α = 90.00°, β = 90.00° and γ = 120.00°. The inequivalent atoms are Mg at (0.0000, 0.0000, 0.0000), Mg at (0.0000, 0.0000, 0.2376), Rh at (0.0000, 0.0000, 0.6596) and Pb at (0.0000, 0.0000, 0.4548).

As for the total energy: -3.7530 eV per atom. The formation energy is -0.191 eV/atom. Its magnetization is 0.00 μB per formula unit. The calculated volume comes out at 247.9 Å³ per cell.

MgRhPb: optimized geometry, PBE.

It has space group I4mm (No. 107), with a = 3.495 Å, b = 3.495 Å, c = 9.337 Å, α = 90.00°, β = 90.00° and γ = 90.00°. The inequivalent atoms are Mg at (0.000, 0.000, 0.000), Rh at (0.000, 0.000, 0.641) and Pb at (0.000, 0.000, 0.307).

As for the total energy: -4.4448 eV per atom. The formation energy is -0.227 eV/atom. Its magnetization is 0.00 μB per formula unit. The calculated volume comes out at 114.0 Å³ per cell.

Mg8Rh2Pb: optimized geometry, PBE.

It has space group P-1 (No. 2), with a = 4.399 Å, b = 6.937 Å, c = 7.967 Å, α = 71.76°, β = 73.99° and γ = 89.94°. The inequivalent atoms are Mg at (0.045, 0.226, 0.410), Mg at (0.172, 0.752, 0.159), Mg at (0.316, 0.570, 0.869), Mg at (0.375, 0.023, 0.747), Rh at (0.210, 0.168, 0.079) and Pb at (0.500, 0.500, 0.500).

As for the total energy: -3.1045 eV per atom. The formation energy is -0.271 eV/atom. Its magnetization is 0.00 μB per formula unit. The calculated volume comes out at 221.0 Å³ per cell.

Mg2RuRhPb: optimized geometry, PBE.

It has space group P4/mmm (No. 123), with a = 4.799 Å, b = 4.799 Å, c = 5.084 Å, α = 90.00°, β = 90.00° and γ = 90.00°. The inequivalent atoms are Mg at (0.000, 0.500, 0.000), Ru at (0.000, 0.000, 0.000), Rh at (0.500, 0.500, 0.500) and Pb at (0.000, 0.000, 0.500).

As for the total energy: -4.0596 eV per atom. The formation energy is 0.645 eV/atom. Its magnetization is 0.00 μB per formula unit. The calculated volume comes out at 117.1 Å³ per cell.

Mg2SbRhPb: optimized geometry, PBE.

It has space group P4/mmm (No. 123), with a = 5.131 Å, b = 5.131 Å, c = 5.949 Å, α = 90.00°, β = 90.00° and γ = 90.00°. The inequivalent atoms are Mg at (0.000, 0.500, 0.000), Sb at (0.000, 0.000, 0.000), Rh at (0.500, 0.500, 0.500) and Pb at (0.000, 0.000, 0.500).

As for the total energy: -2.8028 eV per atom. Its formation energy from raw total energies is 4.36 eV per formula unit. Its magnetization is 0.00 μB per formula unit. The calculated volume comes out at 156.6 Å³ per cell.

Mg2ScRhPb: optimized geometry, PBE.

It has space group P4/mmm (No. 123), with a = 4.999 Å, b = 4.999 Å, c = 4.900 Å, α = 90.00°, β = 90.00° and γ = 90.00°. The inequivalent atoms are Mg at (0.000, 0.500, 0.000), Sc at (0.000, 0.000, 0.500), Rh at (0.000, 0.000, 0.000) and Pb at (0.500, 0.500, 0.500).

As for the total energy: -4.3252 eV per atom. The formation energy is -0.209 eV/atom. Its magnetization is 0.00 μB per formula unit. The calculated volume comes out at 122.5 Å³ per cell.

Mg2ScRhPb: optimized geometry, PBE.

It has space group P4/mmm (No. 123), with a = 5.563 Å, b = 5.563 Å, c = 4.542 Å, α = 90.00°, β = 90.00° and γ = 90.00°. The inequivalent atoms are Mg at (0.000, 0.500, 0.000), Sc at (0.000, 0.000, 0.000), Rh at (0.000, 0.000, 0.500) and Pb at (0.500, 0.500, 0.500).

As for the total energy: -3.5615 eV per atom. The formation energy is 0.555 eV/atom. Its magnetization is 0.00 μB per formula unit. The calculated volume comes out at 140.6 Å³ per cell.

Mg2RhPbSe: optimized geometry, PBE.

It has space group P4/mmm (No. 123), with a = 5.295 Å, b = 5.295 Å, c = 5.107 Å, α = 90.00°, β = 90.00° and γ = 90.00°. The inequivalent atoms are Mg at (0.000, 0.500, 0.000), Rh at (0.000, 0.000, 0.500), Pb at (0.000, 0.000, 0.000) and Se at (0.500, 0.500, 0.500).

As for the total energy: -2.8928 eV per atom. Its formation energy from raw total energies is 3.27 eV per formula unit. Its magnetization is 0.83 μB per formula unit. The calculated volume comes out at 143.2 Å³ per cell.

Sr2MgRh4Pb3: optimized geometry, PBE.

It has space group P-4m2 (No. 115), with a = 4.505 Å, b = 4.505 Å, c = 11.545 Å, α = 90.00°, β = 90.00° and γ = 90.00°. The inequivalent atoms are Sr at (0.000, 0.500, 0.248), Mg at (0.000, 0.000, 0.500), Rh at (0.000, 0.000, 0.000), Rh at (0.000, 0.500, 0.634), Rh at (0.500, 0.500, 0.000), Pb at (0.000, 0.500, 0.870) and Pb at (0.500, 0.500, 0.500).

As for the total energy: -4.9068 eV per atom. The formation energy is -0.358 eV/atom. Its magnetization is 0.00 μB per formula unit. The calculated volume comes out at 234.3 Å³ per cell.

Mg2TlRhPb: optimized geometry, PBE.

It has space group P4/mmm (No. 123), with a = 5.086 Å, b = 5.086 Å, c = 5.159 Å, α = 90.00°, β = 90.00° and γ = 90.00°. The inequivalent atoms are Mg at (0.000, 0.500, 0.000), Tl at (0.000, 0.000, 0.500), Rh at (0.500, 0.500, 0.000) and Pb at (0.500, 0.500, 0.500).

As for the total energy: -3.4374 eV per atom. The formation energy is -0.114 eV/atom. Its magnetization is 0.00 μB per formula unit. The calculated volume comes out at 133.5 Å³ per cell.

Mg2ZnRhPb: optimized geometry, PBE.

It has space group P4/mmm (No. 123), with a = 4.947 Å, b = 4.947 Å, c = 4.843 Å, α = 90.00°, β = 90.00° and γ = 90.00°. The inequivalent atoms are Mg at (0.000, 0.500, 0.000), Zn at (0.000, 0.000, 0.500), Rh at (0.000, 0.000, 0.000) and Pb at (0.500, 0.500, 0.500).

As for the total energy: -3.1055 eV per atom. The formation energy is -0.001 eV/atom. Its magnetization is 0.00 μB per formula unit. The calculated volume comes out at 118.5 Å³ per cell.

Mg2RuPb: optimized geometry, PBE.

It has space group R-3m (No. 166, hexagonal axes), with a = 3.1738 Å, b = 3.1738 Å, c = 28.5859 Å, α = 90.00°, β = 90.00° and γ = 120.00°. The inequivalent atoms are Mg at (0.0000, 0.0000, 0.2352), Ru at (0.0000, 0.0000, 0.5000) and Pb at (0.0000, 0.0000, 0.0000).

As for the total energy: -3.8873 eV per atom. The formation energy is 0.156 eV/atom. Its magnetization is 0.00 μB per formula unit. The calculated volume comes out at 249.4 Å³ per cell.

Mg2RuPb: optimized geometry, PBE.

It has space group I-42d (No. 122), with a = 4.100 Å, b = 4.100 Å, c = 19.899 Å, α = 90.00°, β = 90.00° and γ = 90.00°. The inequivalent atoms are Mg at (0.226, 0.250, 0.125), Ru at (0.000, 0.000, 0.000) and Pb at (0.000, 0.000, 0.500).

As for the total energy: -3.6234 eV per atom. The formation energy is 0.420 eV/atom. Its magnetization is 0.00 μB per formula unit. The calculated volume comes out at 334.5 Å³ per cell.

MgRuPb2: optimized geometry, PBE.

It has space group I4_1/amd (No. 141, origin choice 2), with a = 10.108 Å, b = 10.108 Å, c = 5.269 Å, α = 90.00°, β = 90.00° and γ = 90.00°. The inequivalent atoms are Mg at (0.000, 0.250, 0.375), Ru at (0.000, 0.250, 0.875) and Pb at (0.000, 0.000, 0.000).

As for the total energy: -4.3401 eV per atom. The formation energy is 0.232 eV/atom. Its magnetization is 0.00 μB per formula unit. The calculated volume comes out at 538.3 Å³ per cell.

MgRuPb2: optimized geometry, PBE.

It has space group P4mm (No. 99), with a = 3.387 Å, b = 3.387 Å, c = 7.937 Å, α = 90.00°, β = 90.00° and γ = 90.00°. The inequivalent atoms are Mg at (0.000, 0.000, 0.000), Ru at (0.500, 0.500, 0.830), Pb at (0.000, 0.000, 0.625) and Pb at (0.500, 0.500, 0.267).

As for the total energy: -4.4115 eV per atom. The formation energy is 0.160 eV/atom. Its magnetization is 0.00 μB per formula unit. The calculated volume comes out at 91.0 Å³ per cell.

MgRuPb2: optimized geometry, PBE.

It has space group C2/m (No. 12), with a = 9.368 Å, b = 3.453 Å, c = 5.543 Å, α = 90.00°, β = 102.03° and γ = 90.00°. The inequivalent atoms are Mg at (0.000, 0.000, 0.000), Ru at (0.000, 0.500, 0.500) and Pb at (0.236, 0.000, 0.731).

As for the total energy: -4.2725 eV per atom. The formation energy is 0.299 eV/atom. Its magnetization is 0.00 μB per formula unit. The calculated volume comes out at 175.4 Å³ per cell.

Mg4RuPb: optimized geometry, PBE.

It has space group F-43m (No. 216), with a = 7.851 Å, b = 7.851 Å, c = 7.851 Å, α = 90.00°, β = 90.00° and γ = 90.00°. The inequivalent atoms are Mg at (0.124, 0.124, 0.376), Ru at (0.250, 0.250, 0.750) and Pb at (0.000, 0.000, 0.000).

As for the total energy: -2.9204 eV per atom. The formation energy is 0.307 eV/atom. Its magnetization is 0.00 μB per formula unit. The calculated volume comes out at 484.0 Å³ per cell.

MgRuPb2: optimized geometry, PBE.

It has space group Immm (No. 71), with a = 3.610 Å, b = 5.387 Å, c = 9.310 Å, α = 90.00°, β = 90.00° and γ = 90.00°. The inequivalent atoms are Mg at (0.000, 0.000, 0.000), Ru at (0.000, 0.000, 0.500) and Pb at (0.000, 0.500, 0.228).

As for the total energy: -4.2678 eV per atom. The formation energy is 0.304 eV/atom. Its magnetization is 0.30 μB per formula unit. The calculated volume comes out at 181.1 Å³ per cell.

Mg2RuPb: optimized geometry, PBE.

It has space group I4/mmm (No. 139), with a = 4.114 Å, b = 4.114 Å, c = 8.947 Å, α = 90.00°, β = 90.00° and γ = 90.00°. The inequivalent atoms are Mg at (0.000, 0.500, 0.250), Ru at (0.000, 0.000, 0.000) and Pb at (0.000, 0.000, 0.500).

As for the total energy: -3.9406 eV per atom. The formation energy is 0.103 eV/atom. Its magnetization is 0.00 μB per formula unit. The calculated volume comes out at 151.4 Å³ per cell.

Mg2RuPb: optimized geometry, PBE.

It has space group I-4m2 (No. 119), with a = 4.186 Å, b = 4.186 Å, c = 8.548 Å, α = 90.00°, β = 90.00° and γ = 90.00°. The inequivalent atoms are Mg at (0.000, 0.000, 0.000), Mg at (0.000, 0.500, 0.250), Ru at (0.000, 0.000, 0.500) and Pb at (0.000, 0.500, 0.750).

As for the total energy: -3.9759 eV per atom. The formation energy is 0.067 eV/atom. Its magnetization is 0.00 μB per formula unit. The calculated volume comes out at 149.8 Å³ per cell.

Mg2RuPb: optimized geometry, PBE.

It has space group Pm (No. 6), with a = 3.211 Å, b = 4.669 Å, c = 5.248 Å, α = 90.00°, β = 90.10° and γ = 90.00°. The inequivalent atoms are Mg at (0.000, 0.000, 0.000), Mg at (0.004, 0.500, 0.673), Ru at (0.500, 0.500, 0.144) and Pb at (0.501, 0.000, 0.464).

As for the total energy: -3.8687 eV per atom. The formation energy is 0.175 eV/atom. Its magnetization is 0.35 μB per formula unit. The calculated volume comes out at 78.7 Å³ per cell.

Mg2RuPb2: optimized geometry, PBE.

It has space group P4/mbm (No. 127), with a = 7.260 Å, b = 7.260 Å, c = 4.346 Å, α = 90.00°, β = 90.00° and γ = 90.00°. The inequivalent atoms are Mg at (0.162, 0.338, 0.000), Ru at (0.000, 0.000, 0.500) and Pb at (0.150, 0.650, 0.500).

As for the total energy: -3.6804 eV per atom. The formation energy is 0.296 eV/atom. Its magnetization is 0.50 μB per formula unit. The calculated volume comes out at 229.0 Å³ per cell.